DFT (PBE-GGA) results for a relaxed structure of KCuTe3Os.

total magnetic moment	0.01	μB per formula unit
SG	No. 63
calculated volume	325	Å³/cell
raw total energy	-0.32110	Ry per atom

Lattice parameters (Å, degrees): 10.300 8.075 8.075 28.93 90.00 90.00
Sites, in units of the cell vectors:
Cu 0.500 0.464 0.464
Cu 0.000 0.536 0.536
K 0.000 0.238 0.238
K 0.500 0.762 0.762
Os 0.250 0.000 0.000
Os 0.750 0.000 0.000
Te 0.500 0.070 0.070
Te 0.284 0.387 0.387
Te 0.716 0.387 0.387
Te 0.216 0.613 0.613
Te 0.784 0.613 0.613
Te 0.000 0.930 0.930

=====

DFT (PBE-GGA) results for a relaxed structure of HoMg.

total magnetic moment	0.04	μB per formula unit
SG	No. 186
calculated volume	174	Å³/cell
raw total energy	-0.13172	Ry per atom

Lattice parameters (Å, degrees): 4.975 4.975 8.121 90.00 90.00 120.00
Sites, in units of the cell vectors:
Ho 0.000 0.000 0.000
Ho 0.333 0.667 0.500
Mg 0.000 0.000 0.375
Mg 0.333 0.667 0.875